[1]
First-principles (GGA-PBE) data for a relaxed structure of CsNa2Nd, as listed in the Alexandria database.

a = 3.7617 Å, b = 3.7617 Å, c = 14.8227 Å
α = 82.71°, β = 82.71°, γ = 60.00°
Closest atoms and distances in Å follow each position.
Sites, in units of the cell vectors:
Cs 0.5000 0.5000 0.5000  6 Cs 3.76
Na 0.9204 0.9204 0.2387  1 Nd 3.50, 6 Na 3.76
Na 0.0796 0.0796 0.7613  1 Nd 3.50, 6 Na 3.76
Nd 0.0000 0.0000 0.0000  2 Na 3.50, 6 Nd 3.76

Computed properties:
DFT formation energy = 393 meV per atom
size of the total moment = 0.1815 μB/atom
theoretical density = 3.0 Mg/m³
density of states at the Fermi level = 4.10 states/eV per cell


[2]
First-principles (GGA-PBE) data for a relaxed structure of CsNaNdSe2, as listed in the Alexandria database.

a = 7.4009 Å, b = 6.9256 Å, c = 8.7673 Å
α = 113.26°, β = 90.00°, γ = 90.00°
Closest atoms and distances in Å follow each position.
Sites, in units of the cell vectors:
Cs 0.7332 0.2500 0.5000  6 Se 3.98-4.15
Cs 0.2668 0.7500 0.5000  6 Se 3.98-4.15
Nd 0.5000 0.7500 0.0000  4 Se 2.91
Nd 0.5000 0.2500 0.0000  4 Se 2.91
Se 0.2912 0.3911 0.7821  1 Na 2.78, 2 Nd 2.91
Se 0.7088 0.8911 0.7821  1 Na 2.78, 2 Nd 2.91
Se 0.7088 0.6089 0.2179  1 Na 2.78, 2 Nd 2.91
Se 0.2912 0.1089 0.2179  1 Na 2.78, 2 Nd 2.91
Na 0.0000 0.0000 0.0000  2 Se 2.78
Na 0.0000 0.5000 0.0000  2 Se 2.78

Computed properties:
formation energy from raw total energies = -1.13 eV per atom
size of the total moment = 0.0038 μB/atom
theoretical density = 3.7 Mg/m³
density of states at the Fermi level = 3.63 states/eV per cell


[3]
First-principles (GGA-PBE) data for a relaxed structure of CsNaNd2Te4, as listed in the Alexandria database.

a = 4.7290 Å, b = 8.1785 Å, c = 16.7353 Å
α = 90.00°, β = 90.00°, γ = 106.80°
Closest atoms and distances in Å follow each position.
Sites, in units of the cell vectors:
Te 0.2639 0.5277 0.0975  1 Na 2.92, 3 Nd 3.17-3.21
Te 0.0000 0.0000 0.0000  4 Nd 3.30
Te 0.5673 0.1346 0.2500  2 Na 2.89
Te 0.2639 0.5277 0.4025  1 Na 2.92, 3 Nd 3.17-3.21
Te 0.0000 0.0000 0.5000  4 Nd 3.30
Te 0.7361 0.4723 0.9025  1 Na 2.92, 3 Nd 3.17-3.21
Te 0.4327 0.8654 0.7500  2 Na 2.89
Te 0.7361 0.4723 0.5975  1 Na 2.92, 3 Nd 3.17-3.21
Na 0.8263 0.6526 0.7500  4 Te 2.89-2.92
Na 0.1737 0.3474 0.2500  4 Te 2.89-2.92
Nd 0.6303 0.2607 0.0638  6 Te 3.17-3.30
Nd 0.3697 0.7393 0.9362  6 Te 3.17-3.30
Nd 0.6303 0.2607 0.4362  6 Te 3.17-3.30
Nd 0.3697 0.7393 0.5638  6 Te 3.17-3.30
Cs 0.1154 0.2309 0.7500  6 Te 3.71-3.96, 2 Na 4.06
Cs 0.8846 0.7691 0.2500  6 Te 3.71-3.96, 2 Na 4.06

Computed properties:
formation energy from raw total energies = -1.28 eV per atom
size of the total moment = 0.0000 μB/atom
theoretical density = 5.1 Mg/m³